i.
VASP calculation (GGA-PBE) on a relaxed structure of GaSeI2.

Results
For the density of states at the Fermi level, the calculation gives 4.045 states/eV per cell. As for the size of the total moment: 1.65 μB per formula unit.

```
data_GaSeI2
_chemical_formula_sum 'Ga1 Se1 I2'
_cell_length_a 5.516
_cell_length_b 5.516
_cell_length_c 5.516
_cell_angle_alpha 60.00
_cell_angle_beta 60.00
_cell_angle_gamma 60.00
_symmetry_space_group_name_H-M 'P 1'
_symmetry_Int_Tables_number 1
loop_
_symmetry_equiv_pos_as_xyz
'x,y,z'
loop_
_atom_site_label
_atom_site_type_symbol
_atom_site_fract_x
_atom_site_fract_y
_atom_site_fract_z
Ga1 Ga 0.000 0.000 0.000
Se1 Se 0.500 0.500 0.500
I1 I 0.250 0.250 0.250
I2 I 0.750 0.750 0.750
```


ii.
VASP calculation (GGA-PBE) on a relaxed structure of GaSeI2.

Results
For the density of states at the Fermi level, the calculation gives 7.638 states/eV per cell. As for the size of the total moment: 0.00 μB per formula unit.

```
data_GaSeI2
_chemical_formula_sum 'Ga2 Se2 I4'
_cell_length_a 7.002
_cell_length_b 7.002
_cell_length_c 7.002
_cell_angle_alpha 108.10
_cell_angle_beta 108.10
_cell_angle_gamma 112.26
_symmetry_space_group_name_H-M 'P 1'
_symmetry_Int_Tables_number 1
loop_
_symmetry_equiv_pos_as_xyz
'x,y,z'
loop_
_atom_site_label
_atom_site_type_symbol
_atom_site_fract_x
_atom_site_fract_y
_atom_site_fract_z
Ga1 Ga 0.000 0.000 0.000
Ga2 Ga 0.750 0.250 0.500
Se1 Se 0.250 0.750 0.500
Se2 Se 0.500 0.500 0.000
I1 I 0.120 0.625 0.995
I2 I 0.375 0.370 0.495
I3 I 0.630 0.125 0.005
I4 I 0.875 0.880 0.505
```


iii.
VASP calculation (GGA-PBE) on a relaxed structure of GaSeI2.

Results
For the density of states at the Fermi level, the calculation gives 1.431 states/eV per cell. As for the size of the total moment: 0.00 μB per formula unit.

```
data_GaSeI2
_chemical_formula_sum 'Ga1 Se1 I2'
_cell_length_a 6.512
_cell_length_b 6.512
_cell_length_c 3.997
_cell_angle_alpha 107.79
_cell_angle_beta 107.79
_cell_angle_gamma 65.05
_symmetry_space_group_name_H-M 'P 1'
_symmetry_Int_Tables_number 1
loop_
_symmetry_equiv_pos_as_xyz
'x,y,z'
loop_
_atom_site_label
_atom_site_type_symbol
_atom_site_fract_x
_atom_site_fract_y
_atom_site_fract_z
Ga1 Ga 0.000 0.000 0.000
Se1 Se 0.788 0.212 0.500
I1 I 0.075 0.557 0.815
I2 I 0.443 0.925 0.185
```


Referenced to the most stable arrangement, the calculated values in meV/atom are i 639; ii 520; iii 0.